A relaxed Ho3Ga2Hg2 crystal. Source: the Alexandria database, functional GGA-PBE.

Properties
uncorrected energy = -3.43 eV/atom
volume = 23.3 A^3/atom
magnetic moment = 0.000 μB per atom
space group = Cmmm

extended XYZ file:
```
14
Lattice="4.197 0.000 0.000 0.000 21.918 0.000 0.000 0.000 3.548" Properties=species:S:1:pos:R:3 pbc="T T T"
Ho 0.000 0.000 0.000
Ho 0.000 3.605 0.000
Ho 0.000 18.313 0.000
Ho 2.099 7.354 0.000
Ho 2.099 10.959 0.000
Ho 2.099 14.564 0.000
Ga 0.000 6.189 1.774
Ga 0.000 15.729 1.774
Ga 2.099 4.770 1.774
Ga 2.099 17.148 1.774
Hg 0.000 9.225 1.774
Hg 0.000 12.693 1.774
Hg 2.099 1.734 1.774
Hg 2.099 20.184 1.774
```

***

A relaxed Al2ZnNiN crystal. Source: the Alexandria database, functional GGA-PBE.

Properties
uncorrected energy = -4.61 eV/atom
volume = 12.4 A^3/atom
magnetic moment = 0.000 μB per atom
space group = P4/mmm
formation energy without anion corrections = -0.039 eV per atom

extended XYZ file:
```
5
Lattice="3.814 0.000 0.000 0.000 3.814 0.000 0.000 0.000 4.261" Properties=species:S:1:pos:R:3 pbc="T T T"
Al 0.000 1.907 0.000
Al 1.907 0.000 0.000
Zn 0.000 0.000 2.130
Ni 1.907 1.907 2.130
N 0.000 0.000 0.000
```

***

A relaxed LiNdZnPd3 crystal. Source: the Alexandria database, functional GGA-PBE.

Properties
uncorrected energy = -4.41 eV/atom
volume = 18.1 A^3/atom
magnetic moment = 0.000 μB per atom
space group = Cmcm

extended XYZ file:
```
12
Lattice="2.903 -6.373 0.000 2.903 6.373 0.000 0.000 0.000 5.872" Properties=species:S:1:pos:R:3 pbc="T T T"
Li 2.903 5.082 4.404
Li 2.903 -5.082 1.468
Nd 2.903 2.234 4.404
Nd 2.903 -2.234 1.468
Zn 2.903 1.668 1.468
Zn 2.903 -1.668 4.404
Pd 2.903 4.254 1.468
Pd 1.474 0.000 0.000
Pd 1.474 0.000 2.936
Pd 4.333 0.000 0.000
Pd 4.333 0.000 2.936
Pd 2.903 -4.254 4.404
```

***

A relaxed In2CuSiP crystal. Source: the Alexandria database, functional GGA-PBE.

Properties
uncorrected energy = -3.47 eV/atom
volume = 23.7 A^3/atom
magnetic moment = 0.015 μB per atom
space group = P4/mmm
formation energy without anion corrections = 0.611 eV per atom

extended XYZ file:
```
5
Lattice="5.231 0.000 0.000 0.000 5.231 0.000 0.000 0.000 4.324" Properties=species:S:1:pos:R:3 pbc="T T T"
In 0.000 2.616 0.000
In 2.616 0.000 0.000
Cu 0.000 0.000 2.162
Si 0.000 0.000 0.000
P 2.616 2.616 2.162
```